#a
First-principles (PBE) data for crystalline PrSm6Dy12 at its relaxed geometry, as listed in the Alexandria database.

a b c (Å): 15.5894 15.5894 8.7621
angles (deg): 90.00 90.00 120.00
Space group R-3 (No. 148, hexagonal axes)
Asymmetric unit:
Pr 0.0000 0.0000 0.0000 x3
Sm 0.0352 0.7553 0.3336 x18
Dy 0.0176 0.8771 0.6662 x18
Dy 0.0700 0.5089 0.6667 x18



#b
First-principles (PBE) data for crystalline PrSm6Dy12 at its relaxed geometry, as listed in the Alexandria database.

a b c (Å): 11.9966 11.9966 15.1644
angles (deg): 90.00 90.00 120.00
Space group R-3 (No. 148, hexagonal axes)
Asymmetric unit:
Pr 0.0000 0.0000 0.0000 x3
Sm 0.0083 0.4204 0.6782 x18
Dy 0.0182 0.8378 0.1917 x18
Dy 0.0419 0.8533 0.4159 x18



Winner for stability: #a



#a
First-principles (PBE) data for crystalline PrSm6Dy4 at its relaxed geometry, as listed in the Alexandria database.

a b c (Å): 7.617 7.617 13.405
angles (deg): 90.00 90.00 90.00
Space group I-42m (No. 121)
Asymmetric unit:
Pr 0.000 0.000 0.000 x2
Sm 0.000 0.500 0.000 x4
Sm 0.234 0.234 0.188 x8
Dy 0.164 0.164 0.421 x8



#b
First-principles (PBE) data for crystalline PrSm6Dy4 at its relaxed geometry, as listed in the Alexandria database.

a b c (Å): 5.870 9.667 25.825
angles (deg): 90.00 90.00 90.00
Space group Cmcm (No. 63)
Asymmetric unit:
Pr 0.000 0.216 0.250 x4
Sm 0.000 0.118 0.681 x8
Sm 0.000 0.205 0.100 x8
Sm 0.000 0.445 0.750 x4
Sm 0.000 0.500 0.000 x4
Dy 0.000 0.148 0.543 x8
Dy 0.000 0.450 0.623 x8



Winner for stability: #b



#a
First-principles (PBE) data for crystalline Pr2SmDy4 at its relaxed geometry, as listed in the Alexandria database.

a b c (Å): 6.849 6.879 6.884
angles (deg): 87.93 60.24 60.18
Space group P1 (No. 1)
Asymmetric unit:
Pr 0.000 0.000 0.000 x1
Pr 0.432 0.000 0.000 x1
Sm 0.714 0.500 0.500 x1
Dy 0.055 0.530 0.919 x1
Dy 0.375 0.084 0.470 x1
Dy 0.505 0.470 0.081 x1
Dy 0.929 0.916 0.530 x1



#b
First-principles (PBE) data for crystalline Pr2SmDy4 at its relaxed geometry, as listed in the Alexandria database.

a b c (Å): 11.009 11.010 8.193
angles (deg): 90.00 90.17 90.00
Space group C2/m (No. 12)
Asymmetric unit:
Pr 0.000 0.000 0.000 x2
Pr 0.000 0.000 0.500 x2
Pr 0.250 0.250 0.000 x4
Sm 0.000 0.500 0.000 x2
Sm 0.000 0.500 0.500 x2
Dy 0.001 0.252 0.281 x8
Dy 0.248 0.500 0.281 x4
Dy 0.248 0.500 0.719 x4



Winner for stability: #a



#a
First-principles (PBE) data for crystalline Pr5Sm2Dy4 at its relaxed geometry, as listed in the Alexandria database.

a b c (Å): 3.559 9.266 23.692
angles (deg): 90.00 90.00 90.00
Space group Immm (No. 71)
Asymmetric unit:
Pr 0.000 0.000 0.000 x2
Pr 0.000 0.299 0.354 x8
Sm 0.000 0.500 0.231 x4
Dy 0.000 0.187 0.500 x4
Dy 0.000 0.500 0.096 x4



#b
First-principles (PBE) data for crystalline Pr5Sm2Dy4 at its relaxed geometry, as listed in the Alexandria database.

a b c (Å): 17.943 3.576 11.762
angles (deg): 90.00 93.96 90.00
Space group C2/m (No. 12)
Asymmetric unit:
Pr 0.000 0.000 0.000 x2
Pr 0.096 0.500 0.536 x4
Pr 0.176 0.500 0.071 x4
Sm 0.216 0.000 0.353 x4
Dy 0.033 0.500 0.260 x4
Dy 0.140 0.000 0.797 x4



Winner for stability: #b



#a
First-principles (PBE) data for crystalline Pr5Sm3Dy4 at its relaxed geometry, as listed in the Alexandria database.

a b c (Å): 9.854 5.908 15.174
angles (deg): 90.00 108.80 90.00
Space group C2/m (No. 12)
Asymmetric unit:
Pr 0.000 0.000 0.000 x2
Pr 0.045 0.500 0.248 x4
Pr 0.169 0.500 0.500 x4
Sm 0.000 0.500 0.000 x2
Sm 0.205 0.000 0.249 x4
Dy 0.061 0.000 0.623 x4
Dy 0.177 0.000 0.855 x4



#b
First-principles (PBE) data for crystalline Pr5Sm3Dy4 at its relaxed geometry, as listed in the Alexandria database.

a b c (Å): 6.299 7.265 8.907
angles (deg): 90.09 90.04 90.00
Space group P-1 (No. 2)
Asymmetric unit:
Pr 0.000 0.000 0.000 x1
Pr 0.331 0.500 0.336 x2
Pr 0.499 0.752 0.000 x2
Sm 0.000 0.500 0.000 x1
Sm 0.166 0.248 0.664 x2
Dy 0.167 0.753 0.665 x2
Dy 0.334 0.000 0.337 x2



Winner for stability: #b



#a
First-principles (PBE) data for crystalline PrSm2Dy7 at its relaxed geometry, as listed in the Alexandria database.

a b c (Å): 8.669 16.532 5.517
angles (deg): 90.00 90.00 90.00
Space group Cmmm (No. 65)
Asymmetric unit:
Pr 0.000 0.000 0.000 x2
Sm 0.000 0.297 0.500 x4
Dy 0.000 0.212 0.000 x4
Dy 0.000 0.500 0.500 x2
Dy 0.177 0.113 0.500 x8



#b
First-principles (PBE) data for crystalline PrSm2Dy7 at its relaxed geometry, as listed in the Alexandria database.

a b c (Å): 6.184 7.158 7.982
angles (deg): 77.24 75.09 73.37
Space group P-1 (No. 2)
Asymmetric unit:
Pr 0.000 0.000 0.000 x1
Sm 0.200 0.301 0.600 x2
Dy 0.000 0.500 0.000 x1
Dy 0.200 0.799 0.600 x2
Dy 0.400 0.100 0.200 x2
Dy 0.401 0.599 0.200 x2



Winner for stability: #b



#a
First-principles (PBE) data for crystalline Pr7Sm4Dy at its relaxed geometry, as listed in the Alexandria database.

a b c (Å): 6.405 7.396 9.146
angles (deg): 90.00 76.50 89.99
Space group P-1 (No. 2)
Asymmetric unit:
Pr 0.000 0.000 0.000 x1
Pr 0.222 0.500 0.333 x2
Pr 0.278 0.249 0.668 x2
Pr 0.500 0.250 0.001 x2
Sm 0.223 0.000 0.334 x2
Sm 0.277 0.751 0.669 x2
Dy 0.000 0.500 0.000 x1



#b
First-principles (PBE) data for crystalline Pr7Sm4Dy at its relaxed geometry, as listed in the Alexandria database.

a b c (Å): 16.457 6.109 9.483
angles (deg): 90.00 116.01 90.00
Space group C2/m (No. 12)
Asymmetric unit:
Pr 0.000 0.000 0.000 x2
Pr 0.082 0.500 0.439 x4
Pr 0.208 0.500 0.226 x4
Pr 0.208 0.500 0.876 x4
Sm 0.073 0.000 0.698 x4
Sm 0.173 0.000 0.389 x4
Dy 0.000 0.500 0.000 x2



Winner for stability: #a



#a
First-principles (PBE) data for crystalline Pr2SmDy9 at its relaxed geometry, as listed in the Alexandria database.

a b c (Å): 5.060 5.060 15.163
angles (deg): 90.00 90.00 90.00
Space group P4/mmm (No. 123)
Asymmetric unit:
Pr 0.000 0.000 0.167 x2
Sm 0.000 0.000 0.500 x1
Dy 0.000 0.500 0.000 x2
Dy 0.000 0.500 0.335 x4
Dy 0.500 0.500 0.167 x2
Dy 0.500 0.500 0.500 x1



#b
First-principles (PBE) data for crystalline Pr2SmDy9 at its relaxed geometry, as listed in the Alexandria database.

a b c (Å): 11.3266 11.3266 3.5104
angles (deg): 90.00 90.00 120.00
Space group P6/mmm (No. 191)
Asymmetric unit:
Pr 0.3333 0.6667 0.0000 x2
Sm 0.0000 0.0000 0.0000 x1
Dy 0.0000 0.5000 0.0000 x3
Dy 0.1740 0.3481 0.5000 x6



Winner for stability: #a